Record 1
Entry from Alexandria via LeMat-Bulk: a relaxed structure of Tb2Ho3Pb2 (PBE).

Computed properties:
Symmetry: C2/m (12)
ΔH_f (0 K) in eV/atom: -0.31

The structure in POSCAR format:
```
Tb2Ho3Pb2
1.0
11.9248 0.0000 0.0000
0.0000 4.4822 0.0000
-2.8241 0.0000 8.0328
Tb Ho Pb
4 6 4
Cartesian
0.7575 0.0000 2.2253 Tb
2.3809 2.2411 5.8075 Tb
6.7199 2.2411 2.2253 Tb
8.3433 0.0000 5.8075 Tb
-1.4120 2.2411 4.0164 Ho
-1.1519 2.2411 7.5270 Ho
4.2903 0.0000 0.5058 Ho
4.5504 0.0000 4.0164 Ho
4.8105 0.0000 7.5270 Ho
10.2527 2.2411 0.5058 Ho
0.1258 0.0000 5.5653 Pb
3.0126 2.2411 2.4675 Pb
6.0882 2.2411 5.5653 Pb
8.9750 0.0000 2.4675 Pb
```

Record 2
Entry from Alexandria via LeMat-Bulk: a relaxed structure of NaAcLu (PBE).

Computed properties:
Distance to the lowest polymorph of the same formula in eV/atom: 0.019
Symmetry: I4mm (107)
ΔH_f (0 K) in eV/atom: 0.21

The structure in POSCAR format:
```
NaAcLu
1.0
3.7316 0.0000 0.0000
0.0000 3.7316 0.0000
0.0000 0.0000 16.1451
Na Ac Lu
2 2 2
Cartesian
0.0000 0.0000 0.0000 Na
1.8658 1.8658 8.0726 Na
0.0000 0.0000 11.0554 Ac
1.8658 1.8658 2.9828 Ac
0.0000 0.0000 5.4656 Lu
1.8658 1.8658 13.5381 Lu
```

Record 3
Entry from Alexandria via LeMat-Bulk: a relaxed structure of TiBiSe2Br (PBE).

Computed properties:
Distance to the lowest polymorph of the same formula in eV/atom: 0.000
Energy relative to the elements, uncorrected in kJ per mole of atoms: -34.2
Symmetry: P4/mmm (123)

The structure in POSCAR format:
```
TiBiSe2Br
1.0
5.0511 0.0000 0.0000
0.0000 5.0511 0.0000
0.0000 0.0000 4.9869
Ti Bi Se Br
1 1 2 1
Cartesian
0.0000 0.0000 0.0000 Ti
2.5256 2.5256 2.4934 Bi
0.0000 2.5256 0.0000 Se
2.5256 0.0000 0.0000 Se
0.0000 0.0000 2.4934 Br
```

Record 4
Entry from Alexandria via LeMat-Bulk: a relaxed structure of Cd2CoGe2 (PBE).

Computed properties:
Symmetry: P4/mbm (127)
ΔH_f (0 K) in eV/atom: 0.17

The structure in POSCAR format:
```
Cd2CoGe2
1.0
6.1984 0.0000 0.0000
0.0000 6.1984 0.0000
0.0000 0.0000 4.8000
Cd Co Ge
4 2 4
Cartesian
1.1350 1.9642 0.0000 Cd
1.9642 5.0634 0.0000 Cd
4.2342 1.1350 0.0000 Cd
5.0634 4.2342 0.0000 Cd
0.0000 0.0000 2.4000 Co
3.0992 3.0992 2.4000 Co
0.9129 4.0121 2.4000 Ge
2.1863 0.9129 2.4000 Ge
4.0121 5.2855 2.4000 Ge
5.2855 2.1863 2.4000 Ge
```

Record 5
Entry from Alexandria via LeMat-Bulk: a relaxed structure of CaBe2TeO8 (PBE).

Computed properties:
Energy relative to the elements, uncorrected in kJ per mole of atoms: -126.5
Symmetry: P-3m1 (164)

The structure in POSCAR format:
```
CaBe2TeO8
1.0
5.2964 0.0000 0.0000
-2.6482 4.5868 0.0000
0.0000 0.0000 6.4482
Ca Be Te O
1 2 1 8
Cartesian
0.0000 0.0000 0.0000 Ca
0.0000 3.0579 1.7270 Be
2.6482 1.5289 4.7213 Be
0.0000 0.0000 3.2241 Te
0.0000 1.4866 1.9998 O
-1.3607 3.8435 1.9998 O
1.2875 0.7433 4.4484 O
0.0000 3.0579 0.0693 O
2.6482 1.5289 6.3789 O
1.3607 3.8435 1.9998 O
4.0089 0.7433 4.4484 O
2.6482 3.1002 4.4484 O
```

Record 6
Entry from Alexandria via LeMat-Bulk: a relaxed structure of HfMgCl6 (PBE).

Computed properties:
Distance to the lowest polymorph of the same formula in eV/atom: 0.000
Energy relative to the elements, uncorrected in kJ per mole of atoms: -174.4
Symmetry: C2/m (12)

The structure in POSCAR format:
```
HfMgCl6
1.0
6.2038 0.0000 0.0000
0.0000 12.7552 0.0000
-1.9418 0.0000 5.8930
Hf Mg Cl
2 2 12
Cartesian
0.0000 0.0000 0.0000 Hf
3.1019 6.3776 0.0000 Hf
-0.9709 6.3776 2.9465 Mg
2.1310 0.0000 2.9465 Mg
0.0331 0.0000 4.4629 Cl
1.0529 1.7056 1.4548 Cl
1.0529 11.0496 1.4548 Cl
0.1073 4.6720 4.4383 Cl
0.1073 8.0832 4.4383 Cl
1.1270 6.3776 1.4301 Cl
3.1350 6.3776 4.4629 Cl
4.1548 4.6720 1.4548 Cl
4.1548 8.0832 1.4548 Cl
3.2092 1.7056 4.4383 Cl
3.2092 11.0496 4.4383 Cl
4.2289 0.0000 1.4301 Cl
```

Record 7
Entry from Alexandria via LeMat-Bulk: a relaxed structure of La3NdAl (PBE).

Computed properties:
Distance to the lowest polymorph of the same formula in eV/atom: 0.000
Symmetry: P-1 (2)
ΔH_f (0 K) in eV/atom: -0.12

The structure in POSCAR format:
```
La3NdAl
1.0
3.7129 0.0000 0.0000
0.0030 9.3690 0.0000
1.8445 2.3269 9.3252
La Nd Al
6 2 2
Cartesian
3.7206 1.6604 0.0447 La
1.8399 10.0356 9.2805 La
1.8555 9.5419 5.8162 La
1.8528 4.5739 5.4897 La
3.7077 7.1221 3.8355 La
3.7050 2.1541 3.5090 La
1.8437 4.8147 1.6760 Nd
3.7168 6.8812 7.6492 Nd
1.8546 9.2163 2.2324 Al
3.7059 2.4796 7.0928 Al
```

Record 8
Entry from Alexandria via LeMat-Bulk: a relaxed structure of ZnMoBr2 (PBE).

Computed properties:
Distance to the lowest polymorph of the same formula in eV/atom: 0.822
Energy relative to the elements, uncorrected in kJ per mole of atoms: 77.1
Symmetry: F-43m (216)

The structure in POSCAR format:
```
ZnMoBr2
1.0
7.1660 0.0000 0.0000
0.0000 7.1660 0.0000
0.0000 0.0000 7.1660
Zn Mo Br
4 4 8
Cartesian
0.0000 0.0000 0.0000 Zn
0.0000 3.5830 3.5830 Zn
3.5830 0.0000 3.5830 Zn
3.5830 3.5830 0.0000 Zn
1.7915 1.7915 5.3745 Mo
1.7915 5.3745 1.7915 Mo
5.3745 1.7915 1.7915 Mo
5.3745 5.3745 5.3745 Mo
0.0000 0.0000 3.5830 Br
0.0000 3.5830 0.0000 Br
1.7915 1.7915 1.7915 Br
1.7915 5.3745 5.3745 Br
3.5830 0.0000 0.0000 Br
3.5830 3.5830 3.5830 Br
5.3745 1.7915 5.3745 Br
5.3745 5.3745 1.7915 Br
```

Question: Which formula does entry 2 have?
Answer: NaAcLu

Repeat the fourth record exactly.
Entry from Alexandria via LeMat-Bulk: a relaxed structure of Cd2CoGe2 (PBE).

Computed properties:
Symmetry: P4/mbm (127)
ΔH_f (0 K) in eV/atom: 0.17

The structure in POSCAR format:
```
Cd2CoGe2
1.0
6.1984 0.0000 0.0000
0.0000 6.1984 0.0000
0.0000 0.0000 4.8000
Cd Co Ge
4 2 4
Cartesian
1.1350 1.9642 0.0000 Cd
1.9642 5.0634 0.0000 Cd
4.2342 1.1350 0.0000 Cd
5.0634 4.2342 0.0000 Cd
0.0000 0.0000 2.4000 Co
3.0992 3.0992 2.4000 Co
0.9129 4.0121 2.4000 Ge
2.1863 0.9129 2.4000 Ge
4.0121 5.2855 2.4000 Ge
5.2855 2.1863 2.4000 Ge
```

Question: Which formula does entry 5 have?
Answer: CaBe2TeO8